1.
Computed, not measured: an optimized crystal structure of Y3TmSe6 at the PBE level of DFT.

* SG: R-3
* energy relative to the elements, uncorrected: -1.85 eV/atom
* magnetization: 0.000 Bohr magnetons per cell
* VASP energy: -126.61 eV per cell
* relative energy among the computed polymorphs: 0.005 eV per atom
* DOS at the Fermi energy: 0.000 states/eV/atom

a = 8.374 Å, b = 8.374 Å, c = 8.374 Å
α = 90.88°, β = 90.88°, γ = 90.88°
Fractional positions:
Y 0.071 0.580 0.746
Y 0.254 0.929 0.420
Y 0.420 0.254 0.929
Y 0.580 0.746 0.071
Y 0.746 0.071 0.580
Y 0.929 0.420 0.254
Tm 0.000 0.000 0.000
Tm 0.500 0.500 0.500
Se 0.039 0.909 0.682
Se 0.091 0.318 0.961
Se 0.187 0.587 0.415
Se 0.318 0.961 0.091
Se 0.413 0.585 0.813
Se 0.415 0.187 0.587
Se 0.585 0.813 0.413
Se 0.587 0.415 0.187
Se 0.682 0.039 0.909
Se 0.813 0.413 0.585
Se 0.909 0.682 0.039
Se 0.961 0.091 0.318

***

2.
Computed, not measured: an optimized crystal structure of Y2TmSe4 at the PBE level of DFT.

* SG: C2/m
* energy relative to the elements, uncorrected: -1.82 eV/atom
* magnetization: 0.000 Bohr magnetons per cell
* VASP energy: -44.11 eV per cell
* relative energy among the computed polymorphs: 0.000 eV per atom
* DOS at the Fermi energy: 0.444 states/eV/atom

a = 7.746 Å, b = 7.746 Å, c = 7.148 Å
α = 116.04°, β = 116.04°, γ = 30.55°
Fractional positions:
Y 0.233 0.233 0.222
Y 0.767 0.767 0.778
Tm 0.500 0.500 0.500
Se 0.132 0.132 0.487
Se 0.380 0.380 0.061
Se 0.620 0.620 0.939
Se 0.868 0.868 0.513

***

3.
Computed, not measured: an optimized crystal structure of Y4TmSe4 at the PBE level of DFT.

* SG: I4/m
* energy relative to the elements, uncorrected: -1.52 eV/atom
* magnetization: 0.000 Bohr magnetons per cell
* VASP energy: -57.93 eV per cell
* DOS at the Fermi energy: 0.708 states/eV/atom

a = 6.952 Å, b = 6.952 Å, c = 6.952 Å
α = 99.81°, β = 99.81°, γ = 131.24°
Fractional positions:
Y 0.099 0.293 0.392
Y 0.293 0.901 0.193
Y 0.707 0.099 0.807
Y 0.901 0.707 0.608
Tm 0.500 0.500 0.000
Se 0.200 0.595 0.795
Se 0.405 0.200 0.606
Se 0.595 0.800 0.394
Se 0.800 0.405 0.205

***

4.
Computed, not measured: an optimized crystal structure of YTm6Se8 at the PBE level of DFT.

* SG: R-3
* energy relative to the elements, uncorrected: -1.59 eV/atom
* magnetization: 0.000 Bohr magnetons per cell
* VASP energy: -85.03 eV per cell
* relative energy among the computed polymorphs: 0.187 eV per atom
* DOS at the Fermi energy: 0.474 states/eV/atom

a = 7.559 Å, b = 7.559 Å, c = 7.559 Å
α = 68.78°, β = 68.78°, γ = 68.78°
Fractional positions:
Y 0.000 0.000 0.000
Tm 0.086 0.459 0.695
Tm 0.305 0.914 0.541
Tm 0.459 0.695 0.086
Tm 0.541 0.305 0.914
Tm 0.695 0.086 0.459
Tm 0.914 0.541 0.305
Se 0.098 0.810 0.366
Se 0.190 0.634 0.902
Se 0.323 0.323 0.323
Se 0.366 0.098 0.810
Se 0.634 0.902 0.190
Se 0.677 0.677 0.677
Se 0.810 0.366 0.098
Se 0.902 0.190 0.634

***

5.
Computed, not measured: an optimized crystal structure of YTm4Se5 at the PBE level of DFT.

* SG: I4/mmm
* energy relative to the elements, uncorrected: -1.68 eV/atom
* magnetization: 0.000 Bohr magnetons per cell
* VASP energy: -58.54 eV per cell
* DOS at the Fermi energy: 0.438 states/eV/atom

a = 14.598 Å, b = 14.598 Å, c = 14.598 Å
α = 164.17°, β = 164.17°, γ = 22.47°
Fractional positions:
Y 0.000 0.000 0.000
Tm 0.204 0.204 0.000
Tm 0.403 0.403 0.000
Tm 0.597 0.597 0.000
Tm 0.796 0.796 0.000
Se 0.103 0.103 0.000
Se 0.303 0.303 0.000
Se 0.500 0.500 0.000
Se 0.697 0.697 0.000
Se 0.897 0.897 0.000

***

6.
Computed, not measured: an optimized crystal structure of Y2TmSe4 at the PBE level of DFT.

* SG: Cmcm
* energy relative to the elements, uncorrected: -1.82 eV/atom
* magnetization: 0.000 Bohr magnetons per cell
* VASP energy: -88.10 eV per cell
* relative energy among the computed polymorphs: 0.008 eV per atom
* DOS at the Fermi energy: 0.344 states/eV/atom

a = 7.006 Å, b = 7.006 Å, c = 13.784 Å
α = 90.00°, β = 90.00°, γ = 147.36°
Fractional positions:
Y 0.130 0.870 0.570
Y 0.130 0.870 0.930
Y 0.870 0.130 0.070
Y 0.870 0.130 0.430
Tm 0.372 0.628 0.750
Tm 0.628 0.372 0.250
Se 0.025 0.975 0.750
Se 0.221 0.779 0.124
Se 0.221 0.779 0.376
Se 0.500 0.500 0.000
Se 0.500 0.500 0.500
Se 0.779 0.221 0.624
Se 0.779 0.221 0.876
Se 0.975 0.025 0.250

***

7.
Computed, not measured: an optimized crystal structure of YTm5Se6 at the PBE level of DFT.

* SG: C2/m
* energy relative to the elements, uncorrected: -1.68 eV/atom
* magnetization: 0.000 Bohr magnetons per cell
* VASP energy: -69.85 eV per cell
* DOS at the Fermi energy: 0.405 states/eV/atom

a = 6.987 Å, b = 6.987 Å, c = 6.961 Å
α = 99.62°, β = 99.62°, γ = 120.10°
Fractional positions:
Y 0.000 0.000 0.000
Tm 0.163 0.837 0.500
Tm 0.334 0.666 0.000
Tm 0.500 0.500 0.500
Tm 0.666 0.334 0.000
Tm 0.837 0.163 0.500
Se 0.084 0.423 0.253
Se 0.254 0.254 0.750
Se 0.423 0.084 0.253
Se 0.577 0.916 0.747
Se 0.746 0.746 0.250
Se 0.916 0.577 0.747

***

8.
Computed, not measured: an optimized crystal structure of Y2Tm4Se9 at the PBE level of DFT.

* SG: P-1
* energy relative to the elements, uncorrected: -1.86 eV/atom
* magnetization: 0.000 Bohr magnetons per cell
* VASP energy: -180.04 eV per cell
* DOS at the Fermi energy: 0.000 states/eV/atom

a = 7.132 Å, b = 7.134 Å, c = 19.341 Å
α = 89.99°, β = 89.97°, γ = 60.04°
Fractional positions:
Y 0.000 0.001 0.152
Y 0.000 0.999 0.848
Y 0.001 0.998 0.348
Y 0.999 0.002 0.652
Tm 0.332 0.334 0.819
Tm 0.333 0.333 0.014
Tm 0.334 0.333 0.320
Tm 0.334 0.333 0.513
Tm 0.666 0.667 0.487
Tm 0.666 0.667 0.680
Tm 0.667 0.667 0.986
Tm 0.668 0.666 0.181
Se 0.001 0.309 0.250
Se 0.026 0.635 0.417
Se 0.027 0.337 0.917
Se 0.309 0.000 0.750
Se 0.309 0.690 0.250
Se 0.338 0.635 0.917
Se 0.339 0.026 0.417
Se 0.363 0.662 0.583
Se 0.366 0.973 0.083
Se 0.634 0.027 0.917
Se 0.637 0.338 0.417
Se 0.661 0.974 0.583
Se 0.662 0.365 0.083
Se 0.691 0.000 0.250
Se 0.691 0.310 0.750
Se 0.973 0.663 0.083
Se 0.974 0.365 0.583
Se 0.999 0.691 0.750

***

9.
Computed, not measured: an optimized crystal structure of YTmSe2 at the PBE level of DFT.

* SG: R3m
* energy relative to the elements, uncorrected: -1.72 eV/atom
* magnetization: 0.000 Bohr magnetons per cell
* VASP energy: -24.80 eV per cell
* relative energy among the computed polymorphs: 0.000 eV per atom
* DOS at the Fermi energy: 0.198 states/eV/atom

a = 7.401 Å, b = 7.401 Å, c = 7.401 Å
α = 30.97°, β = 30.97°, γ = 30.97°
Fractional positions:
Y 0.000 0.000 0.000
Tm 0.823 0.823 0.823
Se 0.242 0.242 0.242
Se 0.415 0.415 0.415

***

10.
Computed, not measured: an optimized crystal structure of Y4TmSe7 at the PBE level of DFT.

* SG: Cm
* energy relative to the elements, uncorrected: -1.87 eV/atom
* magnetization: 0.000 Bohr magnetons per cell
* VASP energy: -77.11 eV per cell
* DOS at the Fermi energy: 0.144 states/eV/atom

a = 6.969 Å, b = 6.969 Å, c = 12.182 Å
α = 103.88°, β = 103.88°, γ = 33.07°
Fractional positions:
Y 0.000 0.000 0.000
Y 0.187 0.187 0.765
Y 0.587 0.587 0.389
Y 0.887 0.887 0.576
Tm 0.774 0.774 0.154
Se 0.149 0.149 0.224
Se 0.227 0.227 0.526
Se 0.386 0.386 0.079
Se 0.547 0.547 0.627
Se 0.630 0.630 0.931
Se 0.848 0.848 0.792
Se 0.926 0.926 0.359

***

11.
Computed, not measured: an optimized crystal structure of YTm2Se at the PBE level of DFT.

* SG: R-3m
* energy relative to the elements, uncorrected: -0.51 eV/atom
* magnetization: 0.638 Bohr magnetons per cell
* VASP energy: -20.94 eV per cell
* relative energy among the computed polymorphs: 0.286 eV per atom
* DOS at the Fermi energy: 1.093 states/eV/atom

a = 10.529 Å, b = 10.529 Å, c = 10.529 Å
α = 19.95°, β = 19.95°, γ = 19.95°
Fractional positions:
Y 0.000 0.000 0.000
Tm 0.108 0.108 0.108
Tm 0.892 0.892 0.892
Se 0.500 0.500 0.500

***

12.
Computed, not measured: an optimized crystal structure of Y4TmSe6 at the PBE level of DFT.

* SG: Cmcm
* energy relative to the elements, uncorrected: -1.81 eV/atom
* magnetization: 0.000 Bohr magnetons per cell
* VASP energy: -142.36 eV per cell
* DOS at the Fermi energy: 0.280 states/eV/atom

a = 6.994 Å, b = 6.994 Å, c = 20.743 Å
α = 90.00°, β = 90.00°, γ = 147.01°
Fractional positions:
Y 0.089 0.911 0.628
Y 0.089 0.911 0.872
Y 0.359 0.641 0.538
Y 0.359 0.641 0.962
Y 0.641 0.359 0.038
Y 0.641 0.359 0.462
Y 0.911 0.089 0.128
Y 0.911 0.089 0.372
Tm 0.152 0.848 0.250
Tm 0.848 0.152 0.750
Se 0.000 0.000 0.000
Se 0.000 0.000 0.500
Se 0.195 0.805 0.750
Se 0.270 0.730 0.091
Se 0.270 0.730 0.409
Se 0.445 0.555 0.668
Se 0.445 0.555 0.832
Se 0.555 0.445 0.168
Se 0.555 0.445 0.332
Se 0.730 0.270 0.591
Se 0.730 0.270 0.909
Se 0.805 0.195 0.250

***

13.
Computed, not measured: an optimized crystal structure of YTm4Se6 at the PBE level of DFT.

* SG: Cmcm
* energy relative to the elements, uncorrected: -1.78 eV/atom
* magnetization: 0.000 Bohr magnetons per cell
* VASP energy: -129.58 eV per cell
* DOS at the Fermi energy: 0.267 states/eV/atom

a = 6.895 Å, b = 6.895 Å, c = 20.526 Å
α = 90.00°, β = 90.00°, γ = 146.72°
Fractional positions:
Y 0.152 0.848 0.750
Y 0.848 0.152 0.250
Tm 0.090 0.910 0.126
Tm 0.090 0.910 0.374
Tm 0.360 0.640 0.038
Tm 0.360 0.640 0.462
Tm 0.640 0.360 0.538
Tm 0.640 0.360 0.962
Tm 0.910 0.090 0.626
Tm 0.910 0.090 0.874
Se 0.000 0.000 0.000
Se 0.000 0.000 0.500
Se 0.189 0.811 0.250
Se 0.268 0.732 0.590
Se 0.268 0.732 0.910
Se 0.449 0.551 0.165
Se 0.449 0.551 0.335
Se 0.551 0.449 0.665
Se 0.551 0.449 0.835
Se 0.732 0.268 0.090
Se 0.732 0.268 0.410
Se 0.811 0.189 0.750

***

14.
Computed, not measured: an optimized crystal structure of YbTmSe2 at the PBE level of DFT.

* SG: R-3m
* energy relative to the elements, uncorrected: -1.84 eV/atom
* magnetization: 0.000 Bohr magnetons per cell
* VASP energy: -20.34 eV per cell
* DOS at the Fermi energy: 0.420 states/eV/atom

a = 7.077 Å, b = 7.077 Å, c = 7.077 Å
α = 33.35°, β = 33.35°, γ = 33.35°
Fractional positions:
Yb 0.000 0.000 0.000
Tm 0.500 0.500 0.500
Se 0.248 0.248 0.248
Se 0.752 0.752 0.752

***

15.
Computed, not measured: an optimized crystal structure of YbTm2Se4 at the PBE level of DFT.

* SG: Pnma
* energy relative to the elements, uncorrected: -1.90 eV/atom
* magnetization: 1.008 Bohr magnetons per cell
* VASP energy: -150.86 eV per cell
* relative energy among the computed polymorphs: 0.003 eV per atom
* DOS at the Fermi energy: 2.328 states/eV/atom

a = 13.386 Å, b = 4.009 Å, c = 13.630 Å
α = 90.00°, β = 90.00°, γ = 90.00°
Fractional positions:
Yb 0.131 0.250 0.085
Yb 0.369 0.750 0.585
Yb 0.631 0.250 0.415
Yb 0.869 0.750 0.915
Tm 0.107 0.750 0.420
Tm 0.149 0.750 0.800
Tm 0.351 0.250 0.300
Tm 0.393 0.250 0.920
Tm 0.607 0.750 0.080
Tm 0.649 0.750 0.700
Tm 0.851 0.250 0.200
Tm 0.893 0.250 0.580
Se 0.030 0.250 0.885
Se 0.035 0.750 0.620
Se 0.215 0.750 0.238
Se 0.243 0.250 0.478
Se 0.257 0.750 0.978
Se 0.285 0.250 0.738
Se 0.465 0.250 0.120
Se 0.470 0.750 0.385
Se 0.530 0.250 0.615
Se 0.535 0.750 0.880
Se 0.715 0.750 0.262
Se 0.743 0.250 0.022
Se 0.757 0.750 0.522
Se 0.785 0.250 0.762
Se 0.965 0.250 0.380
Se 0.970 0.750 0.115

***

16.
Computed, not measured: an optimized crystal structure of YbTm2Se4 at the PBE level of DFT.

* SG: P2/m
* energy relative to the elements, uncorrected: -1.90 eV/atom
* magnetization: 0.252 Bohr magnetons per cell
* VASP energy: -37.73 eV per cell
* relative energy among the computed polymorphs: 0.000 eV per atom
* DOS at the Fermi energy: 3.918 states/eV/atom

a = 6.962 Å, b = 4.076 Å, c = 7.137 Å
α = 90.00°, β = 108.03°, γ = 90.00°
Fractional positions:
Yb 0.000 0.000 0.000
Tm 0.000 0.500 0.500
Tm 0.500 0.000 0.500
Se 0.243 0.000 0.733
Se 0.258 0.500 0.257
Se 0.742 0.500 0.743
Se 0.757 0.000 0.267

***

17.
Computed, not measured: an optimized crystal structure of Tm4ZnSe2 at the PBE level of DFT.

* SG: Cmcm
* energy relative to the elements, uncorrected: -1.03 eV/atom
* magnetization: 0.000 Bohr magnetons per cell
* VASP energy: -66.72 eV per cell
* DOS at the Fermi energy: 0.648 states/eV/atom

a = 6.725 Å, b = 6.725 Å, c = 13.692 Å
α = 90.00°, β = 90.00°, γ = 145.72°
Fractional positions:
Tm 0.000 0.000 0.000
Tm 0.000 0.000 0.500
Tm 0.278 0.722 0.628
Tm 0.278 0.722 0.872
Tm 0.444 0.556 0.250
Tm 0.556 0.444 0.750
Tm 0.722 0.278 0.128
Tm 0.722 0.278 0.372
Zn 0.110 0.890 0.250
Zn 0.890 0.110 0.750
Se 0.361 0.639 0.060
Se 0.361 0.639 0.440
Se 0.639 0.361 0.560
Se 0.639 0.361 0.940

***

18.
Computed, not measured: an optimized crystal structure of Tm6ZnSe5 at the PBE level of DFT.

* SG: C2/m
* energy relative to the elements, uncorrected: -1.47 eV/atom
* magnetization: 0.000 Bohr magnetons per cell
* VASP energy: -63.22 eV per cell
* DOS at the Fermi energy: 0.260 states/eV/atom

a = 7.015 Å, b = 7.015 Å, c = 6.986 Å
α = 99.60°, β = 99.60°, γ = 119.95°
Fractional positions:
Tm 0.080 0.400 0.740
Tm 0.239 0.239 0.256
Tm 0.400 0.080 0.740
Tm 0.600 0.920 0.260
Tm 0.761 0.761 0.744
Tm 0.920 0.600 0.260
Zn 0.000 0.000 0.500
Se 0.173 0.827 0.000
Se 0.335 0.665 0.500
Se 0.500 0.500 0.000
Se 0.665 0.335 0.500
Se 0.827 0.173 0.000

***

19.
Computed, not measured: an optimized crystal structure of TmZnSe2 at the PBE level of DFT.

* SG: R-3m
* energy relative to the elements, uncorrected: -1.01 eV/atom
* magnetization: 0.000 Bohr magnetons per cell
* VASP energy: -16.74 eV per cell
* DOS at the Fermi energy: 0.694 states/eV/atom

a = 8.442 Å, b = 8.442 Å, c = 8.442 Å
α = 27.93°, β = 27.93°, γ = 27.93°
Fractional positions:
Tm 0.000 0.000 0.000
Zn 0.500 0.500 0.500
Se 0.398 0.398 0.398
Se 0.602 0.602 0.602

***

20.
Computed, not measured: an optimized crystal structure of Tm2Zr2Se5 at the PBE level of DFT.

* SG: P-3m1
* energy relative to the elements, uncorrected: -1.29 eV/atom
* magnetization: 0.291 Bohr magnetons per cell
* VASP energy: -55.04 eV per cell
* DOS at the Fermi energy: 0.902 states/eV/atom

a = 3.985 Å, b = 3.985 Å, c = 17.936 Å
α = 90.00°, β = 90.00°, γ = 120.00°
Fractional positions:
Tm 0.333 0.667 0.093
Tm 0.667 0.333 0.907
Zr 0.333 0.667 0.668
Zr 0.667 0.333 0.332
Se 0.000 0.000 0.000
Se 0.333 0.667 0.401
Se 0.333 0.667 0.818
Se 0.667 0.333 0.182
Se 0.667 0.333 0.599